1.
This record from the Alexandria database describes a relaxed structure of Ac2Si3. The functional is PBE.

Output
DOS at the Fermi energy in states/eV/atom: 0.773
Formation energy without anion corrections in kJ per mole of atoms: -34
Distance to the lowest polymorph of the same formula in meV per atom: 210.3

a = 9.094 Å, b = 9.094 Å, c = 9.094 Å
α = 109.47°, β = 109.47°, γ = 109.47°
Fractional coordinates of all 20 atoms:
Ac (0.000, 0.089, 0.500)
Ac (0.000, 0.589, 0.500)
Ac (0.089, 0.500, 0.000)
Ac (0.411, 0.411, 0.411)
Ac (0.500, 0.000, 0.089)
Ac (0.500, 0.000, 0.589)
Ac (0.589, 0.500, 0.000)
Ac (0.911, 0.911, 0.911)
Si (0.017, 0.767, 0.250)
Si (0.233, 0.983, 0.250)
Si (0.250, 0.017, 0.767)
Si (0.250, 0.233, 0.983)
Si (0.267, 0.517, 0.750)
Si (0.483, 0.733, 0.750)
Si (0.517, 0.750, 0.267)
Si (0.733, 0.750, 0.483)
Si (0.750, 0.267, 0.517)
Si (0.750, 0.483, 0.733)
Si (0.767, 0.250, 0.017)
Si (0.983, 0.250, 0.233)

---

2.
This record from the Alexandria database describes a relaxed structure of Na2SmBiS4. The functional is PBE.

Output
DOS at the Fermi energy in states/eV/atom: 0.000
Formation energy without anion corrections in kJ per mole of atoms: -124

a = 7.073 Å, b = 4.076 Å, c = 7.133 Å
α = 90.00°, β = 109.23°, γ = 90.00°
Fractional coordinates of all 8 atoms:
Na (0.000, 0.000, 0.000)
Na (0.500, 0.500, 0.000)
Sm (0.000, 0.500, 0.500)
Bi (0.500, 0.000, 0.500)
S (0.242, 0.000, 0.732)
S (0.252, 0.500, 0.265)
S (0.748, 0.500, 0.735)
S (0.758, 0.000, 0.268)

---

Question: Which value of DOS at the Fermi energy does entry 1 give?
Answer: 0.773 states/eV/atom

---

Question: What is the DOS at the Fermi energy in the second record?
Answer: 0.000 states/eV/atom